Record 1
Crystalline Zr6FeSb2 at its relaxed geometry. Source: Alexandria via LeMat-Bulk, functional GGA-PBEsol.

Computed properties:
E_form (uncorrected), eV/atom: -0.571

Cell and atoms, written as extended XYZ:
```
9
Lattice="3.563 0.000 0.000 0.000 7.735 0.000 0.000 -3.867 6.699" Properties=species:S:1:pos:R:3 pbc="T T T"
Fe 1.781 0.000 0.000
Zr 0.000 -2.938 5.089
Zr 1.781 3.100 0.000
Zr 1.781 -1.550 2.685
Zr 0.000 5.876 0.000
Zr 0.000 0.929 1.610
Zr 1.781 2.317 4.014
Sb 0.000 0.000 4.466
Sb 0.000 3.867 2.233
```

Record 2
Crystalline BiMoO2F at its relaxed geometry. Source: Alexandria via LeMat-Bulk, functional GGA-PBEsol.

Computed properties:
E_form (uncorrected), eV/atom: -0.100

Cell and atoms, written as extended XYZ:
```
5
Lattice="-0.685 4.145 -1.234 0.442 -1.176 -4.195 -4.322 -0.785 -0.235" Properties=species:S:1:pos:R:3 pbc="T T T"
Mo -2.283 1.092 -2.832
O -0.343 2.073 -0.617
O 0.221 -0.588 -2.098
F -2.161 -0.392 -0.118
Bi 0.000 0.000 0.000
```

Record 3
Crystalline Cr5Tc4 at its relaxed geometry. Source: Alexandria via LeMat-Bulk, functional GGA-PBEsol.

Computed properties:
Formation enthalpy at 0 K, eV/atom: 0.113

Cell and atoms, written as extended XYZ:
```
9
Lattice="-2.417 -0.127 -1.652 0.608 -5.562 -3.062 -4.212 -2.932 3.788" Properties=species:S:1:pos:R:3 pbc="T T T"
Cr 0.000 0.000 0.000
Cr -2.203 -1.013 0.701
Cr -1.202 -3.805 -3.148
Cr -0.607 -1.884 -1.566
Cr -4.426 -2.046 1.435
Tc -0.947 -4.713 -0.851
Tc -3.221 -5.794 -0.041
Tc -2.800 -2.827 -0.885
Tc -2.656 -3.781 1.577
```

Record 4
Crystalline BaLiCd at its relaxed geometry. Source: Alexandria via LeMat-Bulk, functional GGA-PBEsol.

Computed properties:
Relative energy among the computed polymorphs, meV/atom: 7.2
Formation enthalpy at 0 K, eV/atom: -0.160

Cell and atoms, written as extended XYZ:
```
3
Lattice="-3.603 1.569 -0.412 -1.565 -3.626 -0.125 1.956 1.101 6.041" Properties=species:S:1:pos:R:3 pbc="T T T"
Cd -2.834 -1.000 2.026
Li -0.369 0.042 3.390
Ba -0.010 0.001 0.088
```

Record 5
Crystalline NaIBr3 at its relaxed geometry. Source: Alexandria via LeMat-Bulk, functional GGA-PBEsol.

Computed properties:
E_form (uncorrected), eV/atom: -0.397

Cell and atoms, written as extended XYZ:
```
5
Lattice="-4.021 3.502 2.302 -2.545 0.494 -5.197 -3.329 -4.607 1.193" Properties=species:S:1:pos:R:3 pbc="T T T"
Br -2.010 1.751 1.151
Br -1.665 -2.303 0.596
Br -1.273 0.247 -2.598
Na -4.947 -0.306 -0.851
I 0.000 0.000 0.000
```

Record 6
Crystalline TlRe2Ni at its relaxed geometry. Source: Alexandria via LeMat-Bulk, functional GGA-PBEsol.

Computed properties:
Relative energy among the computed polymorphs, meV/atom: 0.0
Formation enthalpy at 0 K, eV/atom: 0.669

Cell and atoms, written as extended XYZ:
```
4
Lattice="3.001 0.000 0.000 0.000 3.001 0.000 0.000 0.000 6.924" Properties=species:S:1:pos:R:3 pbc="T T T"
Re 0.000 0.000 2.185
Re 0.000 0.000 4.739
Ni 1.501 1.501 3.462
Tl 1.501 1.501 0.000
```